No. 1
## KAu2Se2 (PBE)

Data for crystalline KAu2Se2 at its relaxed geometry.

Cell and atoms, written as CIF:
```
data_KAu2Se2
_chemical_formula_sum 'K1 Au2 Se2'
_cell_length_a 4.417
_cell_length_b 4.417
_cell_length_c 7.119
_cell_angle_alpha 71.93
_cell_angle_beta 71.93
_cell_angle_gamma 90.00
_symmetry_space_group_name_H-M 'P 1'
_symmetry_Int_Tables_number 1
loop_
_symmetry_equiv_pos_as_xyz
'x,y,z'
loop_
_atom_site_label
_atom_site_fract_x
_atom_site_fract_y
_atom_site_fract_z
_atom_site_occupancy
Se1 0.625 0.625 0.750 1
Se2 0.375 0.375 0.250 1
Au1 0.750 0.250 0.500 1
Au2 0.250 0.750 0.500 1
K1 0.000 0.000 0.000 1
```

Computed properties:
The density of states at the Fermi level is 3.77 states/eV/cell. The space group is No. 139. As for the energy above the lowest structure with this stoichiometry: 0.118 eV per atom.



No. 2
## HfVCoCu (PBE)

Data for crystalline HfVCoCu at its relaxed geometry.

Cell and atoms, written as CIF:
```
data_HfVCoCu
_chemical_formula_sum 'Hf1 V1 Co1 Cu1'
_cell_length_a 4.357
_cell_length_b 4.357
_cell_length_c 4.357
_cell_angle_alpha 60.00
_cell_angle_beta 60.00
_cell_angle_gamma 60.00
_symmetry_space_group_name_H-M 'P 1'
_symmetry_Int_Tables_number 1
loop_
_symmetry_equiv_pos_as_xyz
'x,y,z'
loop_
_atom_site_label
_atom_site_fract_x
_atom_site_fract_y
_atom_site_fract_z
_atom_site_occupancy
Co1 0.000 0.000 0.000 1
Cu1 0.500 0.500 0.500 1
Hf1 0.750 0.750 0.750 1
V1 0.250 0.250 0.250 1
```

Computed properties:
The density of states at the Fermi level is 3.79 states/eV/cell. The space group is No. 216. The value obtained for the formation energy is -21 meV/atom.



No. 3
## AlAg2Te (PBE)

Data for crystalline AlAg2Te at its relaxed geometry.

Cell and atoms, written as CIF:
```
data_AlAg2Te
_chemical_formula_sum 'Al1 Ag2 Te1'
_cell_length_a 6.922
_cell_length_b 6.922
_cell_length_c 6.922
_cell_angle_alpha 153.67
_cell_angle_beta 143.05
_cell_angle_gamma 45.94
_symmetry_space_group_name_H-M 'P 1'
_symmetry_Int_Tables_number 1
loop_
_symmetry_equiv_pos_as_xyz
'x,y,z'
loop_
_atom_site_label
_atom_site_fract_x
_atom_site_fract_y
_atom_site_fract_z
_atom_site_occupancy
Te1 0.302 0.802 0.500 1
Ag1 0.021 0.021 0.000 1
Ag2 0.677 0.177 0.500 1
Al1 0.499 0.499 0.000 1
```

Computed properties:
The density of states at the Fermi level is 1.59 states/eV/cell. The space group is No. 44. As for the energy above the lowest structure with this stoichiometry: 0.024 eV per atom.



No. 4
## TiAgI3 (PBE)

Data for crystalline TiAgI3 at its relaxed geometry.

Cell and atoms, written as CIF:
```
data_TiAgI3
_chemical_formula_sum 'Ti1 Ag1 I3'
_cell_length_a 5.609
_cell_length_b 5.609
_cell_length_c 5.609
_cell_angle_alpha 90.00
_cell_angle_beta 90.00
_cell_angle_gamma 90.00
_symmetry_space_group_name_H-M 'P 1'
_symmetry_Int_Tables_number 1
loop_
_symmetry_equiv_pos_as_xyz
'x,y,z'
loop_
_atom_site_label
_atom_site_fract_x
_atom_site_fract_y
_atom_site_fract_z
_atom_site_occupancy
Ag1 0.500 0.500 0.500 1
I1 0.500 0.000 0.000 1
I2 0.000 0.500 0.000 1
I3 0.000 0.000 0.500 1
Ti1 0.000 0.000 0.000 1
```

Computed properties:
The density of states at the Fermi level is 4.67 states/eV/cell. The space group is No. 221. As for the energy above the lowest structure with this stoichiometry: 0.000 eV per atom.



No. 5
## PtPb6S12 (PBE)

Data for crystalline PtPb6S12 at its relaxed geometry.

Cell and atoms, written as CIF:
```
data_PtPb6S12
_chemical_formula_sum 'Pt1 Pb6 S12'
_cell_length_a 8.317
_cell_length_b 8.317
_cell_length_c 8.317
_cell_angle_alpha 101.50
_cell_angle_beta 101.50
_cell_angle_gamma 101.50
_symmetry_space_group_name_H-M 'P 1'
_symmetry_Int_Tables_number 1
loop_
_symmetry_equiv_pos_as_xyz
'x,y,z'
loop_
_atom_site_label
_atom_site_fract_x
_atom_site_fract_y
_atom_site_fract_z
_atom_site_occupancy
Pb1 0.309 0.761 0.808 1
Pb2 0.239 0.192 0.691 1
Pb3 0.808 0.309 0.761 1
Pb4 0.192 0.691 0.239 1
Pb5 0.761 0.808 0.309 1
Pb6 0.691 0.239 0.192 1
S1 0.501 0.016 0.624 1
S2 0.930 0.013 0.705 1
S3 0.624 0.501 0.016 1
S4 0.070 0.987 0.295 1
S5 0.013 0.705 0.930 1
S6 0.987 0.295 0.070 1
S7 0.984 0.376 0.499 1
S8 0.376 0.499 0.984 1
S9 0.499 0.984 0.376 1
S10 0.016 0.624 0.501 1
S11 0.295 0.070 0.987 1
S12 0.705 0.930 0.013 1
Pt1 0.000 0.000 0.000 1
```

Computed properties:
The density of states at the Fermi level is 10.46 states/eV/cell. The space group is No. 148. Its total energy is -4.328 eV per atom.



No. 6
## CaLa2AgIr (PBE)

Data for crystalline CaLa2AgIr at its relaxed geometry.

Cell and atoms, written as CIF:
```
data_CaLa2AgIr
_chemical_formula_sum 'Ca1 La2 Ag1 Ir1'
_cell_length_a 5.518
_cell_length_b 5.518
_cell_length_c 5.655
_cell_angle_alpha 90.00
_cell_angle_beta 90.00
_cell_angle_gamma 90.00
_symmetry_space_group_name_H-M 'P 1'
_symmetry_Int_Tables_number 1
loop_
_symmetry_equiv_pos_as_xyz
'x,y,z'
loop_
_atom_site_label
_atom_site_fract_x
_atom_site_fract_y
_atom_site_fract_z
_atom_site_occupancy
Ag1 0.500 0.500 0.500 1
Ir1 0.000 0.000 0.000 1
La1 0.500 0.000 0.000 1
La2 0.000 0.500 0.000 1
Ca1 0.000 0.000 0.500 1
```

Computed properties:
The density of states at the Fermi level is 3.14 states/eV/cell. The space group is No. 123. As for the energy above the lowest structure with this stoichiometry: 0.000 eV per atom. The value obtained for the formation energy is -298 meV/atom.



No. 7
## Sr2ScZn2 (PBE)

Data for crystalline Sr2ScZn2 at its relaxed geometry.

Cell and atoms, written as CIF:
```
data_Sr2ScZn2
_chemical_formula_sum 'Sr4 Sc2 Zn4'
_cell_length_a 7.538
_cell_length_b 7.538
_cell_length_c 5.195
_cell_angle_alpha 90.00
_cell_angle_beta 90.00
_cell_angle_gamma 90.00
_symmetry_space_group_name_H-M 'P 1'
_symmetry_Int_Tables_number 1
loop_
_symmetry_equiv_pos_as_xyz
'x,y,z'
loop_
_atom_site_label
_atom_site_fract_x
_atom_site_fract_y
_atom_site_fract_z
_atom_site_occupancy
Zn1 0.623 0.123 0.000 1
Zn2 0.877 0.623 0.000 1
Zn3 0.377 0.877 0.000 1
Zn4 0.123 0.377 0.000 1
Sr1 0.680 0.820 0.500 1
Sr2 0.820 0.320 0.500 1
Sr3 0.180 0.680 0.500 1
Sr4 0.320 0.180 0.500 1
Sc1 0.500 0.500 0.000 1
Sc2 0.000 0.000 0.000 1
```

Computed properties:
The density of states at the Fermi level is 16.09 states/eV/cell. The space group is No. 127. The value obtained for the formation energy is -41 meV/atom.



No. 8
## CsIn2SnI8 (PBE)

Data for crystalline CsIn2SnI8 at its relaxed geometry.

Cell and atoms, written as CIF:
```
data_CsIn2SnI8
_chemical_formula_sum 'Cs1 In2 Sn1 I8'
_cell_length_a 7.652
_cell_length_b 7.652
_cell_length_c 12.553
_cell_angle_alpha 72.26
_cell_angle_beta 72.26
_cell_angle_gamma 60.00
_symmetry_space_group_name_H-M 'P 1'
_symmetry_Int_Tables_number 1
loop_
_symmetry_equiv_pos_as_xyz
'x,y,z'
loop_
_atom_site_label
_atom_site_fract_x
_atom_site_fract_y
_atom_site_fract_z
_atom_site_occupancy
In1 0.748 0.748 0.755 1
In2 0.252 0.252 0.245 1
Sn1 0.500 0.500 0.500 1
I1 0.331 0.331 0.006 1
I2 0.223 0.872 0.320 1
I3 0.128 0.777 0.680 1
I4 0.669 0.669 0.994 1
I5 0.872 0.585 0.320 1
I6 0.415 0.128 0.680 1
I7 0.777 0.415 0.680 1
I8 0.585 0.223 0.320 1
Cs1 0.000 0.000 0.000 1
```

Computed properties:
The density of states at the Fermi level is 6.92 states/eV/cell. The space group is No. 155. Its total energy is -2.490 eV per atom.



Which formula does entry 6 have? CaLa2AgIr